[1]
First-principles (PBE-GGA) data for an optimized crystal structure of MnTc3, as listed in the Alexandria database.

The space group is Pm-3m (No. 221) and the conventional cell measures 3.821, 3.821 and 3.821 Å, with angles of 90.00, 90.00 and 90.00 degrees. The distinct sites, in fractional coordinates, are Mn at (0.000, 0.000, 0.000) and Tc at (0.000, 0.500, 0.500).

The calculation puts the formation energy from the elements at 7.6 kJ per mole of atoms. The value obtained for the density of states at the Fermi level is 4.21 states/eV/cell.



[2]
First-principles (PBE-GGA) data for an optimized crystal structure of MnTc, as listed in the Alexandria database.

The space group is Cmcm (No. 63) and the conventional cell measures 2.668, 9.592 and 3.993 Å, with angles of 90.00, 90.00 and 90.00 degrees. The distinct sites, in fractional coordinates, are Mn at (0.000, 0.059, 0.250) and Tc at (0.000, 0.326, 0.250).

The calculation puts the formation energy from the elements at 7.7 kJ per mole of atoms. The value obtained for the density of states at the Fermi level is 11.51 states/eV/cell.



[3]
First-principles (PBE-GGA) data for an optimized crystal structure of MnTc3, as listed in the Alexandria database.

The space group is Pnma (No. 62) and the conventional cell measures 5.181, 8.397 and 5.112 Å, with angles of 90.00, 90.00 and 90.00 degrees. The distinct sites, in fractional coordinates, are Mn at (0.056, 0.250, 0.056), Tc at (0.024, 0.250, 0.579) and Tc at (0.179, 0.523, 0.800).

The calculation puts the formation energy from the elements at 11.6 kJ per mole of atoms. The value obtained for the density of states at the Fermi level is 13.41 states/eV/cell.



[4]
First-principles (PBE-GGA) data for an optimized crystal structure of MnTc, as listed in the Alexandria database.

The space group is P-3m1 (No. 164) and the conventional cell measures 2.6682, 2.6682 and 8.3428 Å, with angles of 90.00, 90.00 and 120.00 degrees. The distinct sites, in fractional coordinates, are Mn at (0.3333, 0.6667, 0.3898) and Tc at (0.3333, 0.6667, 0.8652).

The calculation puts the formation energy from the elements at 13.3 kJ per mole of atoms. The value obtained for the density of states at the Fermi level is 6.18 states/eV/cell.